TbPr4NdDy2 | PBE | relaxed

Values from the calculation:
As for the total energy: -4.700 eV/atom. The volume comes out at 274 Å³/f.u. For the formation energy, the calculation gives 0.015 eV per atom. The total magnetization is 0.000 μB per atom.

Lattice parameters (Å, degrees): 6.3191 3.6643 12.0246 90.00 100.23 90.00
Last column: nearest neighbours and their distance in Å.
Fractional positions:
Tb 0.0000 0.0000 0.0000  6 Pr 3.61-3.63, 4 Dy 3.65, 2 Tb 3.66
Pr 0.2500 0.5000 0.2493  2 Tb 3.63, 3 Dy 3.63-3.64, 1 Nd 3.64, 6 Pr 3.65-3.66
Pr 0.2519 0.0000 0.7528  3 Dy 3.61-3.66, 1 Tb 3.61, 6 Pr 3.65-3.66, 2 Nd 3.66
Pr 0.7481 0.0000 0.2472  3 Dy 3.61-3.66, 1 Tb 3.61, 6 Pr 3.65-3.66, 2 Nd 3.66
Pr 0.7500 0.5000 0.7507  2 Tb 3.63, 3 Dy 3.63-3.64, 1 Nd 3.64, 6 Pr 3.65-3.66
Nd 0.0000 0.5000 0.5000  6 Pr 3.64-3.66, 4 Dy 3.65, 2 Nd 3.66
Dy 0.5000 0.0000 0.5000  6 Pr 3.64-3.66, 4 Nd 3.65, 2 Dy 3.66
Dy 0.5000 0.5000 0.0000  6 Pr 3.61-3.63, 4 Tb 3.65, 2 Dy 3.66

Ce5Bi2Os | PBE | relaxed

Values from the calculation:
As for the total energy: -6.128 eV/atom. The relative energy among the computed polymorphs is 0.451 eV/atom. The volume comes out at 315 Å³/f.u. For the formation energy, the calculation gives -0.045 eV per atom. The total magnetization is 0.890 μB per atom.

Lattice parameters (Å, degrees): 8.7303 8.7303 13.1554 90.00 90.00 141.03
Last column: nearest neighbours and their distance in Å.
Fractional positions:
Ce 0.0521 0.9479 0.6034  1 Os 2.69
Ce 0.0521 0.9479 0.8966  1 Os 2.69
Ce 0.2797 0.7203 0.5878  1 Os 2.84, 2 Bi 3.18
Ce 0.2797 0.7203 0.9122  1 Os 2.84, 2 Bi 3.18
Ce 0.3126 0.6874 0.2500  2 Os 2.93
Ce 0.6874 0.3126 0.7500  2 Os 2.93
Ce 0.7203 0.2797 0.0878  1 Os 2.84, 2 Bi 3.18
Ce 0.7203 0.2797 0.4122  1 Os 2.84, 2 Bi 3.18
Ce 0.9479 0.0521 0.1034  1 Os 2.69
Ce 0.9479 0.0521 0.3966  1 Os 2.69
Bi 0.1451 0.8549 0.1089  6 Ce 3.18-3.41
Bi 0.1451 0.8549 0.3911  6 Ce 3.18-3.41
Bi 0.8549 0.1451 0.6089  6 Ce 3.18-3.41
Bi 0.8549 0.1451 0.8911  6 Ce 3.18-3.41
Os 0.1662 0.8338 0.7500  6 Ce 2.69-2.93
Os 0.8338 0.1662 0.2500  6 Ce 2.69-2.93

AgHPt | PBE | relaxed

Values from the calculation:
As for the total energy: -4.077 eV/atom. The relative energy among the computed polymorphs is 0.007 eV/atom. The volume comes out at 37 Å³/f.u. The total magnetization is 0.000 μB per atom.

Lattice parameters (Å, degrees): 4.6159 3.4984 4.7455 90.00 102.54 90.00
Last column: nearest neighbours and their distance in Å.
Fractional positions:
Ag 0.0000 0.0000 0.0000  2 H 2.41-2.52
Ag 0.5000 0.5000 0.0000  2 H 2.41-2.52
H 0.3546 0.5000 0.4570  3 Pt 1.79-1.84
H 0.8546 0.0000 0.4570  3 Pt 1.79-1.84
Pt 0.4800 0.0000 0.5065  3 H 1.79-1.84
Pt 0.9800 0.5000 0.5065  3 H 1.79-1.84

MnReSb2 | PBE | relaxed

Values from the calculation:
Its formation energy without anion corrections is 0.7374 eV/atom. As for the total energy: -6.728 eV/atom. The relative energy among the computed polymorphs is 0.534 eV/atom. The volume comes out at 78 Å³/f.u. The total magnetization is 0.825 μB per atom.

Lattice parameters (Å, degrees): 3.3099 5.3535 8.7604 90.00 90.00 90.00
Last column: nearest neighbours and their distance in Å.
Fractional positions:
Mn 0.0000 0.0000 0.0000  4 Sb 2.77
Mn 0.5000 0.5000 0.0000  4 Sb 2.77
Re 0.0000 0.0000 0.5000  4 Sb 2.73
Re 0.5000 0.5000 0.5000  4 Sb 2.73
Sb 0.0000 0.5000 0.2529  2 Re 2.73, 2 Mn 2.77
Sb 0.0000 0.5000 0.7471  2 Re 2.73, 2 Mn 2.77
Sb 0.5000 0.0000 0.2529  2 Re 2.73, 2 Mn 2.77
Sb 0.5000 0.0000 0.7471  2 Re 2.73, 2 Mn 2.77

MgMnNbRh2 | PBE | relaxed

Values from the calculation:
As for the total energy: -6.040 eV/atom. The volume comes out at 112 Å³/f.u. For the formation energy, the calculation gives 1.067 eV per atom. The total magnetization is 0.920 μB per atom.

Lattice parameters (Å, degrees): 4.6892 4.6892 5.1152 90.00 90.00 90.00
Last column: nearest neighbours and their distance in Å.
Fractional positions:
Mg 0.0000 0.0000 0.0000  2 Nb 2.56
Mn 0.5000 0.5000 0.0000  4 Mg 3.32, 8 Rh 3.47
Nb 0.0000 0.0000 0.5000  4 Rh 2.34, 2 Mg 2.56
Rh 0.0000 0.5000 0.5000  2 Nb 2.34
Rh 0.5000 0.0000 0.5000  2 Nb 2.34

U2Co4Ge3Pd | PBE | relaxed

Values from the calculation:
As for the total energy: -7.340 eV/atom. The volume comes out at 155 Å³/f.u. For the formation energy, the calculation gives -0.335 eV per atom. The total magnetization is 0.217 μB per atom.

Lattice parameters (Å, degrees): 3.7593 3.7593 10.9902 90.00 90.00 90.00
Last column: nearest neighbours and their distance in Å.
Fractional positions:
U 0.0000 0.5000 0.2420  4 Co 2.78, 4 Ge 3.05
U 0.5000 0.0000 0.7580  4 Co 2.78, 4 Ge 3.05
Co 0.0000 0.0000 0.5000  4 Ge 2.31
Co 0.0000 0.5000 0.8332  1 Ge 2.33
Co 0.5000 0.0000 0.1668  1 Ge 2.33
Co 0.5000 0.5000 0.5000  4 Ge 2.31
Ge 0.0000 0.0000 0.0000  4 Co 2.63, 4 Pd 2.66
Ge 0.0000 0.5000 0.6216  5 Co 2.31-2.33
Ge 0.5000 0.0000 0.3784  5 Co 2.31-2.33
Pd 0.5000 0.5000 0.0000  4 Co 2.63, 4 Ge 2.66

Zr6SbS12 | PBE | relaxed

Values from the calculation:
Its formation energy without anion corrections is -1.0845 eV/atom. As for the total energy: -6.608 eV/atom. The volume comes out at 416 Å³/f.u. The total magnetization is 0.155 μB per atom.

Lattice parameters (Å, degrees): 7.8010 7.8010 7.8010 104.95 104.95 104.95
Last column: nearest neighbours and their distance in Å.
Fractional positions:
Zr 0.2512 0.2512 0.6474  7 S 2.52-2.81
Zr 0.2512 0.6474 0.2512  7 S 2.52-2.81
Zr 0.3526 0.7488 0.7488  7 S 2.52-2.81
Zr 0.6474 0.2512 0.2512  7 S 2.52-2.81
Zr 0.7488 0.3526 0.7488  7 S 2.52-2.81
Zr 0.7488 0.7488 0.3526  7 S 2.52-2.81
Sb 0.0000 0.0000 0.0000  18 S 3.87-4.20
S 0.1267 0.5000 0.8733  4 Zr 2.67-2.81
S 0.1267 0.8733 0.5000  4 Zr 2.67-2.81
S 0.1739 0.4462 0.4462  3 Zr 2.52-2.61
S 0.4462 0.1739 0.4462  3 Zr 2.52-2.61
S 0.4462 0.4462 0.1739  3 Zr 2.52-2.61
S 0.5000 0.1267 0.8733  4 Zr 2.67-2.81
S 0.5000 0.8733 0.1267  4 Zr 2.67-2.81
S 0.5538 0.5538 0.8261  3 Zr 2.52-2.61
S 0.5538 0.8261 0.5538  3 Zr 2.52-2.61
S 0.8261 0.5538 0.5538  3 Zr 2.52-2.61
S 0.8733 0.1267 0.5000  4 Zr 2.67-2.81
S 0.8733 0.5000 0.1267  4 Zr 2.67-2.81

ThCuPt | PBE | relaxed

Values from the calculation:
As for the total energy: -6.600 eV/atom. The relative energy among the computed polymorphs is 0.034 eV/atom. The volume comes out at 63 Å³/f.u. For the formation energy, the calculation gives -0.748 eV per atom. The total magnetization is 0.000 μB per atom.

Lattice parameters (Å, degrees): 4.1624 7.4347 8.1809 90.00 90.00 90.00
Last column: nearest neighbours and their distance in Å.
Fractional positions:
Th 0.0000 0.0000 0.0000  4 Pt 3.00, 6 Cu 3.15-3.22
Th 0.0000 0.5000 0.0000  4 Pt 3.00, 6 Cu 3.15-3.22
Th 0.5000 0.0000 0.5000  4 Pt 3.00, 6 Cu 3.15-3.22
Th 0.5000 0.5000 0.5000  4 Pt 3.00, 6 Cu 3.15-3.22
Cu 0.0000 0.2500 0.3220  2 Cu 2.39, 1 Pt 2.56
Cu 0.0000 0.7500 0.6780  2 Cu 2.39, 1 Pt 2.56
Cu 0.5000 0.2500 0.1780  2 Cu 2.39, 1 Pt 2.56
Cu 0.5000 0.7500 0.8220  2 Cu 2.39, 1 Pt 2.56
Pt 0.0000 0.2500 0.6348  1 Cu 2.56, 2 Pt 2.81
Pt 0.0000 0.7500 0.3652  1 Cu 2.56, 2 Pt 2.81
Pt 0.5000 0.2500 0.8652  1 Cu 2.56, 2 Pt 2.81
Pt 0.5000 0.7500 0.1348  1 Cu 2.56, 2 Pt 2.81